Arrangement one

First-principles (PBE-GGA) data for NaInReTc after structural relaxation, as listed in OQMD.

```
NaInReTc
1.0
1.804 -4.058 0.987
-2.663 -3.367 1.505
-0.864 -3.582 -2.668
Tc In Re Na
1 1 1 1
Direct
0.000 0.000 0.000 Tc
0.500 0.500 0.500 In
0.250 0.250 0.250 Re
0.750 0.750 0.750 Na
```

Arrangement two

First-principles (PBE-GGA) data for NaInReTc after structural relaxation, as listed in OQMD.

```
NaInReTc
1.0
0.000 3.210 3.210
3.210 0.000 3.210
3.210 3.210 0.000
Tc Re In Na
1 1 1 1
Direct
0.250 0.250 0.250 Tc
0.500 0.500 0.500 Re
0.000 0.000 0.000 In
0.750 0.750 0.750 Na
```

Going by the energies, arrangement two is most stable and the next is 10 meV/atom up.

Arrangement one

First-principles (PBE-GGA) data for ErAgAu after structural relaxation, as listed in OQMD.

```
ErAgAu
1.0
3.705 0.000 0.000
0.000 3.705 0.000
0.000 0.000 9.097
Ag Er Au
2 2 2
Direct
0.000 0.000 0.168 Ag
0.000 0.000 0.832 Ag
0.500 0.500 0.000 Er
0.000 0.000 0.500 Er
0.500 0.500 0.333 Au
0.500 0.500 0.667 Au
```

Arrangement two

First-principles (PBE-GGA) data for ErAgAu after structural relaxation, as listed in OQMD.

```
ErAgAu
1.0
0.000 3.360 3.360
3.360 0.000 3.360
3.360 3.360 0.000
Er Au Ag
1 1 1
Direct
0.000 0.000 0.000 Er
0.750 0.750 0.750 Au
0.250 0.250 0.250 Ag
```

Going by the energies, arrangement one is most stable and the next is 392 meV/atom up.

Arrangement one

First-principles (PBE-GGA) data for IrOs2W after structural relaxation, as listed in OQMD.

```
IrOs2W
1.0
4.412 0.000 0.000
0.000 2.771 4.812
0.000 -2.771 4.812
Os W Ir
4 2 2
Direct
0.000 0.834 0.834 Os
0.000 0.835 0.332 Os
0.000 0.332 0.835 Os
0.500 0.167 0.167 Os
0.000 0.333 0.333 W
0.500 0.668 0.668 W
0.500 0.667 0.164 Ir
0.500 0.164 0.667 Ir
```

Arrangement two

First-principles (PBE-GGA) data for IrOs2W after structural relaxation, as listed in OQMD.

```
IrOs2W
1.0
4.406 0.000 0.000
0.000 4.809 2.774
0.000 -4.809 2.774
Os W Ir
4 2 2
Direct
0.250 0.666 0.837 Os
0.750 0.835 0.168 Os
0.750 0.837 0.666 Os
0.250 0.168 0.835 Os
0.250 0.667 0.332 W
0.750 0.332 0.667 W
0.750 0.331 0.165 Ir
0.250 0.165 0.331 Ir
```

Going by the energies, arrangement two is most stable and the next is 10 meV/atom up.

Arrangement one

First-principles (PBE-GGA) data for TlPIrO after structural relaxation, as listed in OQMD.

```
TlPIrO
1.0
-1.855 -1.294 -3.310
-2.944 -1.531 2.248
-4.483 7.821 -0.545
P O Tl Ir
2 2 2 2
Direct
0.000 0.000 0.640 P
0.500 0.500 0.360 P
0.000 0.500 0.000 O
0.500 0.000 0.000 O
0.000 0.000 0.122 Tl
0.500 0.500 0.878 Tl
0.500 0.000 0.500 Ir
0.000 0.500 0.500 Ir
```

Arrangement two

First-principles (PBE-GGA) data for TlPIrO after structural relaxation, as listed in OQMD.

```
TlPIrO
1.0
-3.005 1.428 1.181
-3.734 -7.102 -0.914
1.351 -1.366 5.091
P O Tl Ir
2 2 2 2
Direct
0.500 0.860 0.870 P
0.500 0.140 0.370 P
0.000 0.811 0.357 O
0.000 0.189 0.857 O
0.500 0.386 0.945 Tl
0.500 0.614 0.445 Tl
0.000 0.983 0.082 Ir
0.000 0.017 0.582 Ir
```

Going by the energies, arrangement one is most stable and the next is 30 meV/atom up.